## Ho3Zn2Pd (PBE-GGA)

Data for crystalline Ho3Zn2Pd at its relaxed geometry.

a b c (Å): 3.5454 3.5454 10.4471
angles (deg): 90.00 90.00 90.00
With the nearest neighbours (Å) after each atom.
Fractional positions:
Ho (0.0000, 0.0000, 0.3381)  4 Pd 3.02, 4 Zn 3.09, 1 Ho 3.38
Ho (0.0000, 0.0000, 0.0000)  8 Zn 3.04
Ho (0.0000, 0.0000, 0.6619)  4 Pd 3.02, 4 Zn 3.09, 1 Ho 3.38
Zn (0.5000, 0.5000, 0.8347)  8 Ho 3.04-3.09
Zn (0.5000, 0.5000, 0.1653)  8 Ho 3.04-3.09
Pd (0.5000, 0.5000, 0.5000)  8 Ho 3.02

Results
- Total energy: -4.13 eV/atom
- SG: P4/mmm, No. 123